1.
## Ca2AgC (GGA-PBE)

Data for a relaxed structure of Ca2AgC.

Computed properties:
Space-group type: No. 122
E: -56.44 eV/cell
Fermi-level density of states: 3.3 states/eV/f.u.

Cell: 7.495 7.495 6.804 Å, 90.00 90.00 90.00°
Sites, in units of the cell vectors:
Ca 0.170 0.250 0.125
Ca 0.250 0.670 0.375
Ca 0.250 0.830 0.875
Ca 0.330 0.250 0.625
Ca 0.670 0.750 0.625
Ca 0.750 0.170 0.875
Ca 0.750 0.330 0.375
Ca 0.830 0.750 0.125
Ag 0.000 0.000 0.500
Ag 0.000 0.500 0.750
Ag 0.500 0.000 0.250
Ag 0.500 0.500 0.000
C 0.000 0.000 0.000
C 0.000 0.500 0.250
C 0.500 0.000 0.750
C 0.500 0.500 0.500


2.
## CaAg2C (GGA-PBE)

Data for a relaxed structure of CaAg2C.

Computed properties:
Space-group type: No. 122
E: -56.01 eV/cell
Fermi-level density of states: 0.1 states/eV/f.u.

Cell: 5.229 5.229 13.126 Å, 90.00 90.00 90.00°
Sites, in units of the cell vectors:
Ca 0.000 0.000 0.000
Ca 0.000 0.500 0.250
Ca 0.500 0.000 0.750
Ca 0.500 0.500 0.500
Ag 0.066 0.250 0.625
Ag 0.250 0.566 0.875
Ag 0.250 0.934 0.375
Ag 0.434 0.250 0.125
Ag 0.566 0.750 0.125
Ag 0.750 0.066 0.375
Ag 0.750 0.434 0.875
Ag 0.934 0.750 0.625
C 0.000 0.000 0.500
C 0.000 0.500 0.750
C 0.500 0.000 0.250
C 0.500 0.500 0.000


3.
## Ca3AgC (GGA-PBE)

Data for a relaxed structure of Ca3AgC.

Computed properties:
Space-group type: No. 221
Energy relative to the lowest polymorph listed for this composition: 1290.5 meV per atom
Fermi-level density of states: 4.2 states/eV/f.u.

Cell: 5.669 5.669 5.669 Å, 90.00 90.00 90.00°
Sites, in units of the cell vectors:
Ca 0.000 0.000 0.500
Ca 0.000 0.500 0.000
Ca 0.500 0.000 0.000
Ag 0.000 0.000 0.000
C 0.500 0.500 0.500


4.
## Ca3AgC (GGA-PBE)

Data for a relaxed structure of Ca3AgC.

Computed properties:
Space-group type: No. 2
Energy relative to the lowest polymorph listed for this composition: 0.0 meV per atom
Fermi-level density of states: 3.2 states/eV/f.u.

Cell: 4.079 8.030 8.775 Å, 83.25 83.62 77.96°
Sites, in units of the cell vectors:
Ca 0.007 0.247 0.454
Ca 0.331 0.989 0.808
Ca 0.435 0.573 0.188
Ca 0.565 0.427 0.812
Ca 0.669 0.011 0.192
Ca 0.993 0.753 0.546
Ag 0.071 0.300 0.069
Ag 0.929 0.700 0.931
C 0.401 0.945 0.509
C 0.599 0.055 0.491


5.
## CaAg3C (GGA-PBE)

Data for a relaxed structure of CaAg3C.

Computed properties:
Space-group type: No. 221
Energy relative to the lowest polymorph listed for this composition: 1719.5 meV per atom
Fermi-level density of states: 3.2 states/eV/f.u.

Cell: 5.579 5.579 5.579 Å, 90.00 90.00 90.00°
Sites, in units of the cell vectors:
Ca 0.000 0.000 0.000
Ag 0.000 0.000 0.500
Ag 0.000 0.500 0.000
Ag 0.500 0.000 0.000
C 0.500 0.500 0.500


6.
## CaFeAgC (GGA-PBE)

Data for a relaxed structure of CaFeAgC.

Computed properties:
Space-group type: No. 129
E: -45.20 eV/cell
Fermi-level density of states: 1.3 states/eV/f.u.

Cell: 3.625 3.625 10.083 Å, 90.00 90.00 90.00°
Sites, in units of the cell vectors:
Ca 0.250 0.250 0.233
Ca 0.750 0.750 0.767
Fe 0.250 0.750 0.000
Fe 0.750 0.250 0.000
Ag 0.250 0.750 0.500
Ag 0.750 0.250 0.500
C 0.250 0.250 0.928
C 0.750 0.750 0.072